Density functional theory data (GGA-PBE) for a geometry-optimized TaCuTe2 structure.

Geometry as extended XYZ:
```
4
Lattice="1.991 1.149 7.435 -1.991 1.149 7.435 0.000 -2.298 7.435" Properties=species:S:1:pos:R:3 pbc="T T T"
Ta 0.000 0.000 0.000
Cu 0.000 0.000 6.359
Te 0.000 0.000 12.676
Te 0.000 0.000 16.633
```

ΔE_f (raw): -0.13 eV per atom
symmetry: No. 160